The following is a DFT calculation (PBE-GGA) of a geometry-optimized SrTcAg structure.

a b c (Å): 11.384 3.752 7.204
angles (deg): 90.00 105.41 90.00
Space group C2/m (No. 12)
Symmetry-distinct sites (fractional):
1 Sr 0.014 0.000 0.251 [4 per cell]
2 Tc 0.214 0.500 0.060 [4 per cell]
3 Ag 0.195 0.500 0.613 [4 per cell]

- ΔH_f (0 K) (eV/f.u.) = 0.867
- magnetization (μB/cell) = 0.0
- ΔE to the lowest computed polymorph (eV per atom) = 0.056
- DOS at the Fermi energy (states/eV per atom) = 0.77

***

The following is a DFT calculation (PBE-GGA) of a geometry-optimized PrDy2Zn structure.

a b c (Å): 3.6094 3.6094 31.1830
angles (deg): 90.00 90.00 120.00
Space group R-3m (No. 166, hexagonal axes)
Symmetry-distinct sites (fractional):
1 Pr 0.0000 0.0000 0.0000 [3 per cell]
2 Dy 0.0000 0.0000 0.2376 [6 per cell]
3 Zn 0.0000 0.0000 0.5000 [3 per cell]

- ΔH_f (0 K) (eV/f.u.) = -0.287
- magnetization (μB/cell) = 0.0
- ΔE to the lowest computed polymorph (eV per atom) = 0.091
- DOS at the Fermi energy (states/eV per atom) = 0.82

***

The following is a DFT calculation (PBE-GGA) of a geometry-optimized TaNi2PdPt structure.

a b c (Å): 6.276 3.934 6.301
angles (deg): 90.00 102.74 90.00
Space group P2_1/m (No. 11)
Symmetry-distinct sites (fractional):
1 Ta 0.124 0.250 0.226 [2 per cell]
2 Ni 0.164 0.750 0.514 [2 per cell]
3 Ni 0.436 0.250 0.566 [2 per cell]
4 Pd 0.487 0.750 0.847 [2 per cell]
5 Pt 0.157 0.250 0.814 [2 per cell]

- ΔH_f (0 K) (eV/f.u.) = -1.219
- magnetization (μB/cell) = 0.0
- DOS at the Fermi energy (states/eV per atom) = 0.55

***

The following is a DFT calculation (PBE-GGA) of a geometry-optimized SrOsAu2 structure.

a b c (Å): 4.208 4.208 9.284
angles (deg): 90.00 90.00 90.00
Space group I-4m2 (No. 119)
Symmetry-distinct sites (fractional):
1 Sr 0.000 0.000 0.000 [2 per cell]
2 Os 0.000 0.500 0.250 [2 per cell]
3 Au 0.000 0.000 0.500 [2 per cell]
4 Au 0.000 0.500 0.750 [2 per cell]

- ΔH_f (0 K) (eV/f.u.) = 1.872
- magnetization (μB/cell) = 2.7
- ΔE to the lowest computed polymorph (eV per atom) = 0.136
- DOS at the Fermi energy (states/eV per atom) = 1.19

***

The following is a DFT calculation (PBE-GGA) of a geometry-optimized BeAgCl2 structure.

a b c (Å): 3.112 3.112 7.814
angles (deg): 90.00 90.00 90.00
Space group P4mm (No. 99)
Symmetry-distinct sites (fractional):
1 Be 0.000 0.000 0.000 [1 per cell]
2 Ag 0.500 0.500 0.772 [1 per cell]
3 Cl 0.000 0.000 0.563 [1 per cell]
4 Cl 0.500 0.500 0.148 [1 per cell]

- magnetization (μB/cell) = 0.0
- ΔE to the lowest computed polymorph (eV per atom) = 0.623
- E_form (uncorrected) (eV per formula unit) = -0.1
- DOS at the Fermi energy (states/eV per atom) = 0.33

***

The following is a DFT calculation (PBE-GGA) of a geometry-optimized Ti8Al2Rh3 structure.

a b c (Å): 8.586 12.124 4.399
angles (deg): 90.00 90.00 90.00
Space group Cmmm (No. 65)
Symmetry-distinct sites (fractional):
1 Ti 0.000 0.124 0.000 [4 per cell]
2 Ti 0.000 0.372 0.000 [4 per cell]
3 Ti 0.233 0.123 0.500 [8 per cell]
4 Al 0.000 0.259 0.500 [4 per cell]
5 Rh 0.000 0.500 0.500 [2 per cell]
6 Rh 0.248 0.500 0.000 [4 per cell]

- ΔH_f (0 K) (eV/f.u.) = -2.365
- magnetization (μB/cell) = 0.0
- DOS at the Fermi energy (states/eV per atom) = 1.19

***

The following is a DFT calculation (PBE-GGA) of a geometry-optimized SrNdSb2Pd5 structure.

a b c (Å): 4.730 4.730 8.737
angles (deg): 90.00 90.00 90.00
Space group P4/mmm (No. 123)
Symmetry-distinct sites (fractional):
1 Sr 0.000 0.000 0.000 [1 per cell]
2 Nd 0.000 0.000 0.500 [1 per cell]
3 Sb 0.500 0.500 0.336 [2 per cell]
4 Pd 0.000 0.500 0.219 [4 per cell]
5 Pd 0.500 0.500 0.000 [1 per cell]

- magnetization (μB/cell) = 0.0
- E_form (uncorrected) (eV per formula unit) = -5.7
- DOS at the Fermi energy (states/eV per atom) = 0.39

***

no.,ρ (g/cm3)
1,6.6
2,7.5
3,13.1
4,13.6
5,4.1
6,5.4
7,8.6